# 1
## Pu4PaH10 (PBE)

Data for Pu4PaH10 after structural relaxation. Values from VASP.

The calculation puts the total energy at -105.49 eV for the cell shown. The total moment comes out at 21.82 Bohr magnetons per cell. Its density of states at the Fermi level is 29.69 states/eV/f.u.

Structure (Quantum ESPRESSO input):
```
&SYSTEM
  ibrav = 0, nat = 15, ntyp = 3
/
ATOMIC_SPECIES
H 1.01 H.upf
Pu 244.00 Pu.upf
Pa 231.04 Pa.upf
CELL_PARAMETERS angstrom
-2.8884 -2.5603 -3.5593
1.0621 -6.3587 -0.1604
-5.6767 -2.0884 2.2364
ATOMIC_POSITIONS crystal
H 0.4419 0.9016 0.7045
H 0.8536 0.7045 0.0984
H 0.6565 0.2955 0.9016
H 0.5581 0.0984 0.2955
H 0.3435 0.7045 0.0984
H 0.1464 0.2955 0.9016
H 0.2500 0.5000 0.5000
H 0.9521 0.9016 0.7045
H 0.0479 0.0984 0.2955
H 0.7500 0.5000 0.5000
Pu 0.5999 0.1995 0.6007
Pu 0.2006 0.3993 0.1995
Pu 0.7994 0.6007 0.8005
Pu 0.4001 0.8005 0.3993
Pa 0.0000 0.0000 0.0000
```

# 2
## Pu2Pa2H7 (PBE)

Data for Pu2Pa2H7 after structural relaxation. Values from VASP.

The calculation puts the total energy at -73.43 eV for the cell shown. The total moment comes out at 13.36 Bohr magnetons per cell. Its density of states at the Fermi level is 14.57 states/eV/f.u.

Structure (Quantum ESPRESSO input):
```
&SYSTEM
  ibrav = 0, nat = 11, ntyp = 3
/
ATOMIC_SPECIES
H 1.01 H.upf
Pa 231.04 Pa.upf
Pu 244.00 Pu.upf
CELL_PARAMETERS angstrom
-2.4970 -2.7733 -2.0011
2.3829 -4.1976 2.8438
-3.6485 0.2216 4.2455
ATOMIC_POSITIONS crystal
H 0.2687 0.0000 0.5000
H 0.7313 0.0000 0.5000
H 0.0000 0.0000 0.0000
H 0.2640 0.5000 0.5000
H 0.7313 0.5000 0.0000
H 0.2687 0.5000 0.0000
H 0.7360 0.5000 0.5000
Pa 0.5000 0.7677 0.2323
Pa 0.5000 0.2323 0.7677
Pu 0.0000 0.2677 0.2677
Pu 0.0000 0.7323 0.7323
```

# 3
## PuPa2H8 (PBE)

Data for PuPa2H8 after structural relaxation. Values from VASP.

The calculation puts the total energy at -63.77 eV for the cell shown. The total moment comes out at 7.80 Bohr magnetons per cell. Its density of states at the Fermi level is 11.71 states/eV/f.u.

Structure (Quantum ESPRESSO input):
```
&SYSTEM
  ibrav = 0, nat = 11, ntyp = 3
/
ATOMIC_SPECIES
H 1.01 H.upf
Pa 231.04 Pa.upf
Pu 244.00 Pu.upf
CELL_PARAMETERS angstrom
3.2637 0.0000 -0.9933
-0.9065 5.2444 -2.9786
0.1046 -0.0057 6.2023
ATOMIC_POSITIONS crystal
H 0.0000 0.2661 0.0000
H 0.8316 0.8316 0.6632
H 0.3345 0.0907 0.6691
H 0.6655 0.4216 0.3309
H 0.1684 0.1684 0.3368
H 0.3345 0.5784 0.6691
H 0.0000 0.7339 0.0000
H 0.6655 0.9093 0.3309
Pa 0.1720 0.6720 0.3440
Pa 0.8280 0.3280 0.6560
Pu 0.5000 0.0000 0.0000
```

# 4
## PuPaH (PBE)

Data for PuPaH after structural relaxation. Values from VASP.

The calculation puts the total energy at -53.68 eV for the cell shown. The total moment comes out at 0.00 Bohr magnetons per cell. Its density of states at the Fermi level is 4.94 states/eV/f.u.

Structure (Quantum ESPRESSO input):
```
&SYSTEM
  ibrav = 0, nat = 6, ntyp = 3
/
ATOMIC_SPECIES
Pu 244.00 Pu.upf
Pa 231.04 Pa.upf
H 1.01 H.upf
CELL_PARAMETERS angstrom
3.3195 0.0000 0.0000
0.0000 3.4015 0.0000
0.0000 0.0000 8.1266
ATOMIC_POSITIONS crystal
Pu 0.5000 0.5000 0.5593
Pu 0.0000 0.0000 0.4407
Pa 0.0000 0.5000 0.1889
Pa 0.5000 0.0000 0.8111
H 0.5000 0.5000 0.9919
H 0.0000 0.0000 0.0081
```

# 5
## PuPaH5 (PBE)

Data for PuPaH5 after structural relaxation. Values from VASP.

The calculation puts the total energy at -85.34 eV for the cell shown. The total moment comes out at 12.81 Bohr magnetons per cell. Its density of states at the Fermi level is 8.14 states/eV/f.u.

Structure (Quantum ESPRESSO input):
```
&SYSTEM
  ibrav = 0, nat = 14, ntyp = 3
/
ATOMIC_SPECIES
H 1.01 H.upf
Pa 231.04 Pa.upf
Pu 244.00 Pu.upf
CELL_PARAMETERS angstrom
0.5287 -2.6509 -3.0202
4.0434 0.1830 0.2140
-1.0185 -4.0146 8.0841
ATOMIC_POSITIONS crystal
H 0.3608 0.4680 0.3697
H 0.0216 0.7500 0.5102
H 0.4016 0.0089 0.8697
H 0.5984 0.9911 0.1303
H 0.6392 0.5320 0.6303
H 0.7398 0.5114 0.9898
H 0.8635 0.1135 0.7500
H 0.2602 0.4886 0.0102
H 0.9784 0.2500 0.4898
H 0.1365 0.8865 0.2500
Pa 0.2441 0.4941 0.7500
Pa 0.7559 0.5059 0.2500
Pu 0.0000 0.0000 0.0000
Pu 0.5000 0.0000 0.5000
```

# 6
## PuPaH3 (PBE)

Data for PuPaH3 after structural relaxation. Values from VASP.

The calculation puts the total energy at -139.73 eV for the cell shown. The total moment comes out at 21.21 Bohr magnetons per cell. Its density of states at the Fermi level is 6.15 states/eV/f.u.

Structure (Quantum ESPRESSO input):
```
&SYSTEM
  ibrav = 0, nat = 20, ntyp = 3
/
ATOMIC_SPECIES
Pu 244.00 Pu.upf
H 1.01 H.upf
Pa 231.04 Pa.upf
CELL_PARAMETERS angstrom
-4.3980 1.1116 -3.4261
4.1071 1.6787 -4.7275
-2.4565 -7.2313 0.8072
ATOMIC_POSITIONS crystal
Pu 0.2536 0.8078 0.9520
Pu 0.7464 0.1922 0.0480
Pu 0.2464 0.8078 0.4520
Pu 0.7536 0.1922 0.5480
H 0.8621 0.8260 0.9489
H 0.1379 0.1740 0.0511
H 0.5678 0.5281 0.8219
H 0.4488 0.9814 0.7849
H 0.5512 0.0186 0.2151
H 0.4322 0.4719 0.1781
H 0.9322 0.5281 0.3219
H 0.0512 0.9814 0.2849
H 0.9488 0.0186 0.7151
H 0.3621 0.1740 0.5511
H 0.0678 0.4719 0.6781
H 0.6379 0.8260 0.4489
Pa 0.7437 0.6485 0.6205
Pa 0.7563 0.6485 0.1205
Pa 0.2437 0.3515 0.8795
Pa 0.2563 0.3515 0.3795
```

# 7
## RbPaH2 (PBE)

Data for RbPaH2 after structural relaxation. Values from VASP.

The calculation puts the total energy at -16.56 eV for the cell shown. The total moment comes out at 0.09 Bohr magnetons per cell. Its density of states at the Fermi level is 4.64 states/eV/f.u.

Structure (Quantum ESPRESSO input):
```
&SYSTEM
  ibrav = 0, nat = 4, ntyp = 3
/
ATOMIC_SPECIES
Pa 231.04 Pa.upf
H 1.01 H.upf
Rb 85.47 Rb.upf
CELL_PARAMETERS angstrom
-2.2591 -1.5112 2.1253
0.9958 -2.6462 1.9774
1.5276 3.4819 6.9002
ATOMIC_POSITIONS crystal
Pa 0.5000 0.5000 0.5000
H 0.1177 0.1177 0.6470
H 0.8823 0.8823 0.3530
Rb 0.0000 0.0000 0.0000
```

# 8
## Rb2PaH2S4 (PBE)

Data for Rb2PaH2S4 after structural relaxation. Values from VASP.

The calculation puts the total energy at -42.84 eV for the cell shown. The total moment comes out at 0.52 Bohr magnetons per cell. Its density of states at the Fermi level is 2.67 states/eV/f.u.

Structure (Quantum ESPRESSO input):
```
&SYSTEM
  ibrav = 0, nat = 9, ntyp = 4
/
ATOMIC_SPECIES
Rb 85.47 Rb.upf
Pa 231.04 Pa.upf
H 1.01 H.upf
S 32.06 S.upf
CELL_PARAMETERS angstrom
-0.2672 1.9303 3.1154
0.1350 -6.3177 3.9260
7.9965 2.6217 -3.1056
ATOMIC_POSITIONS crystal
Rb 0.8539 0.3538 0.7078
Rb 0.1461 0.6462 0.2922
Pa 0.0000 0.0000 0.0000
H 0.3329 0.8332 0.6659
H 0.6671 0.1668 0.3341
S 0.5000 0.2581 0.0001
S 0.8278 0.8280 0.6557
S 0.5000 0.7419 0.9999
S 0.1722 0.1720 0.3443
```

total moment of number 2 (Pu2Pa2H7)?
13.36 Bohr magnetons per cell